This record from the Alexandria database describes crystalline PrNd2In at its relaxed geometry. The functional is PBE-GGA.

Calculated values
Space group: P4/mmm, No. 123
Size of the total moment (μB/cell): 0.00
Energy of formation (eV/atom): -0.228

Lattice parameters (Å, degrees): 3.690 3.690 9.554 90.00 90.00 90.00
Sites, in units of the cell vectors:
Nd 0.000 0.000 0.222
In 0.500 0.500 0.000
Pr 0.500 0.500 0.500
Nd 0.000 0.000 0.778